An optimized crystal structure of SiMoS. Source: the Alexandria database, functional PBE-GGA.

* SG: C2/m, No. 12
* energy relative to the elements, uncorrected: -94 meV per atom

a = 4.0952 Å, b = 3.8459 Å, c = 8.3801 Å
α = 101.88°, β = 90.00°, γ = 122.17°
Sites, in units of the cell vectors:
S  0.1234  0.2469  0.8171
Mo  0.2026  0.4051  0.1179
S  0.8766  0.7531  0.1829
Si  0.3130  0.6260  0.4500
Si  0.6870  0.3740  0.5500
Mo  0.7974  0.5949  0.8821